BeCoBr | PBE-GGA | relaxed

The structure belongs to space group P1 (No. 1); the cell edges are 3.552, 3.554 and 8.648 Å and the angles 96.47°, 96.44° and 92.62°. The distinct sites, in fractional coordinates, are Be at (0.000, 0.000, 0.000), Be at (0.460, 0.464, 0.996), Co at (0.015, 0.544, 0.161), Co at (0.544, 0.019, 0.162), Br at (0.169, 0.165, 0.772) and Br at (0.558, 0.563, 0.365).

=====

BeCoBr | PBE-GGA | relaxed

The structure belongs to space group P6_3/mmc (No. 194); the cell edges are 3.7056, 3.7056 and 9.0624 Å and the angles 90.00°, 90.00° and 120.00°. The distinct sites, in fractional coordinates, are Be at (0.3333, 0.6667, 0.2500), Co at (0.0000, 0.0000, 0.0000) and Br at (0.0000, 0.0000, 0.2500).

=====

BeCoBr2 | PBE-GGA | relaxed

The structure belongs to space group P4/mmm (No. 123); the cell edges are 3.239, 3.239 and 6.547 Å and the angles 90.00°, 90.00° and 90.00°. The distinct sites, in fractional coordinates, are Be at (0.000, 0.000, 0.000), Co at (0.000, 0.000, 0.500) and Br at (0.500, 0.500, 0.249).

=====

BeCoBr3 | PBE-GGA | relaxed

The structure belongs to space group Pm-3m (No. 221); the cell edges are 4.824, 4.824 and 4.824 Å and the angles 90.00°, 90.00° and 90.00°. The distinct sites, in fractional coordinates, are Be at (0.000, 0.000, 0.000), Co at (0.500, 0.500, 0.500) and Br at (0.000, 0.000, 0.500).

=====

BeCoBr2 | PBE-GGA | relaxed

The structure belongs to space group C2/m (No. 12); the cell edges are 6.488, 3.649 and 6.295 Å and the angles 90.00°, 109.75° and 90.00°. The distinct sites, in fractional coordinates, are Be at (0.000, 0.000, 0.000), Co at (0.000, 0.500, 0.500) and Br at (0.246, 0.500, 0.251).

=====

BeCoBr2 | PBE-GGA | relaxed

The structure belongs to space group Fm-3m (No. 225); the cell edges are 6.490, 6.490 and 6.490 Å and the angles 90.00°, 90.00° and 90.00°. The distinct sites, in fractional coordinates, are Be at (0.000, 0.000, 0.000), Co at (0.000, 0.000, 0.500) and Br at (0.250, 0.250, 0.250).

=====

BeCoBr | PBE-GGA | relaxed

The structure belongs to space group I4mm (No. 107); the cell edges are 3.115, 3.115 and 9.050 Å and the angles 90.00°, 90.00° and 90.00°. The distinct sites, in fractional coordinates, are Be at (0.000, 0.000, 0.000), Co at (0.000, 0.000, 0.565) and Br at (0.000, 0.000, 0.298).

=====

BeCoBr2 | PBE-GGA | relaxed

The structure belongs to space group Cmmm (No. 65); the cell edges are 3.250, 6.605 and 7.291 Å and the angles 90.00°, 90.00° and 90.00°. The distinct sites, in fractional coordinates, are Be at (0.000, 0.000, 0.000), Co at (0.000, 0.000, 0.500) and Br at (0.000, 0.500, 0.229).

=====

Table of electronic total energy (eV per atom), in record order: -4.32; -2.81; -2.76; -2.87; -3.08; -2.78; -3.60; -3.04
Table of ΔE_f (raw) (eV per formula unit), in record order: -0.45; 4.09; 3.13; 1.49; 1.86; 3.05; 1.71; 2.04